Record 1
! Pt3Cl3F | the Alexandria database | PBE | relaxed; values from VASP
! total moment: 0.000 μB per atom
! DOS(E_F): 8.9 states/eV per cell
! formation energy (no corrections): 0.180 eV per atom
! E: -24.3 eV/cell
&SYSTEM
  ibrav = 0, nat = 7, ntyp = 3
/
ATOMIC_SPECIES
Pt 195.08 Pt.upf
Cl 35.45 Cl.upf
F 19.00 F.upf
CELL_PARAMETERS angstrom
5.0226 0.0000 0.0000
0.0000 5.0226 0.0000
0.0000 0.0000 5.0226
ATOMIC_POSITIONS angstrom
Pt 0.0000 0.0000 2.5113
Pt 0.0000 2.5113 0.0000
Pt 2.5113 0.0000 0.0000
Cl 0.0000 2.5113 2.5113
Cl 2.5113 0.0000 2.5113
Cl 2.5113 2.5113 0.0000
F 0.0000 0.0000 0.0000

=====

Record 2
! AlBiAsO6 | the Alexandria database | PBE | relaxed; values from VASP
! total moment: 0.000 μB per atom
! DOS(E_F): 6.0 states/eV per cell
! formation energy (no corrections): -1.644 eV per atom
! E: -113.6 eV/cell
&SYSTEM
  ibrav = 0, nat = 18, ntyp = 4
/
ATOMIC_SPECIES
Al 26.98 Al.upf
Bi 208.98 Bi.upf
As 74.92 As.upf
O 16.00 O.upf
CELL_PARAMETERS angstrom
5.0038 0.0000 0.0000
-2.5019 4.3334 0.0000
0.0000 0.0000 9.5299
ATOMIC_POSITIONS angstrom
Al 0.0000 2.8889 2.3825
Al 2.5019 1.4445 7.1474
Bi 0.0000 0.0000 0.0000
Bi 0.0000 0.0000 4.7649
As 0.0000 2.8889 7.1474
As 2.5019 1.4445 2.3825
O -0.9074 1.6303 6.1232
O -1.5437 2.7325 8.1716
O 0.9074 1.6303 8.1716
O -0.6363 4.3041 6.1232
O 1.8656 0.0294 1.3583
O 0.9582 1.6010 3.4067
O 1.5437 2.7325 6.1232
O 0.6363 4.3041 8.1716
O 3.1382 0.0294 3.4067
O 1.5945 2.7031 1.3583
O 4.0456 1.6010 1.3583
O 3.4093 2.7031 3.4067

=====

Number 2 is which compound?
AlBiAsO6